Computed, not measured: a geometry-optimized Y2Te structure at the PBE-GGA level of DFT.

Cell: 7.2838 7.2838 7.2838 Å, 90.00 90.00 90.00°
Positions (direct):
Y 0.1424 0.1424 0.1424
Y 0.1424 0.3576 0.6424
Y 0.3576 0.6424 0.1424
Y 0.3576 0.8576 0.6424
Y 0.6424 0.1424 0.3576
Y 0.6424 0.3576 0.8576
Y 0.8576 0.6424 0.3576
Y 0.8576 0.8576 0.8576
Te 0.0000 0.0000 0.5000
Te 0.0000 0.5000 0.0000
Te 0.5000 0.0000 0.0000
Te 0.5000 0.5000 0.5000

Results
E = -5.97 eV per atom
Raw formation energy = -0.608 eV/atom